Entry 1:
# PPtSe2 | the Alexandria database | PBEsol | relaxed
# Symmetry: R-3m, No. 166
# Theoretical density in kg/m3: 7206
# Formation energy from raw total energies in eV/atom: 0.215
data_PPtSe2
_chemical_formula_sum 'P1 Pt1 Se2'
_symmetry_space_group_name_H-M 'P 1'
_symmetry_Int_Tables_number 1
_cell_length_a 3.677
_cell_length_b 3.677
_cell_length_c 7.850
_cell_angle_alpha 76.46
_cell_angle_beta 76.46
_cell_angle_gamma 60.00
loop_
_symmetry_equiv_pos_as_xyz
'x,y,z'
loop_
_atom_site_label
_atom_site_fract_x
_atom_site_fract_y
_atom_site_fract_z
P1 0.000 0.000 0.000
Se1 0.107 0.107 0.679
Pt1 0.500 0.500 0.500
Se2 0.893 0.893 0.321

***

Entry 2:
# CaCdO2 | the Alexandria database | PBEsol | relaxed
# Symmetry: I-42d, No. 122
# Theoretical density in kg/m3: 4572
# Formation energy from raw total energies in eV/atom: -1.902
data_CaCdO2
_chemical_formula_sum 'Ca2 Cd2 O4'
_symmetry_space_group_name_H-M 'P 1'
_symmetry_Int_Tables_number 1
_cell_length_a 5.063
_cell_length_b 5.063
_cell_length_c 6.336
_cell_angle_alpha 113.55
_cell_angle_beta 113.55
_cell_angle_gamma 90.00
loop_
_symmetry_equiv_pos_as_xyz
'x,y,z'
loop_
_atom_site_label
_atom_site_fract_x
_atom_site_fract_y
_atom_site_fract_z
O1 0.625 0.629 0.750
O2 0.371 0.875 0.250
O3 0.125 0.121 0.750
Ca1 0.500 0.500 0.000
Cd1 0.000 0.000 0.000
Ca2 0.750 0.250 0.500
O4 0.879 0.375 0.250
Cd2 0.250 0.750 0.500

***

Entry 3:
# Li4CuNi3P4O16 | the Alexandria database | PBEsol | relaxed
# Symmetry: Pm, No. 6
# Theoretical density in kg/m3: 3958
# Formation energy from raw total energies in eV/atom: -1.835
data_Li4CuNi3P4O16
_chemical_formula_sum 'Li4 Cu1 Ni3 P4 O16'
_symmetry_space_group_name_H-M 'P 1'
_symmetry_Int_Tables_number 1
_cell_length_a 4.663
_cell_length_b 5.873
_cell_length_c 9.917
_cell_angle_alpha 90.00
_cell_angle_beta 90.62
_cell_angle_gamma 90.00
loop_
_symmetry_equiv_pos_as_xyz
'x,y,z'
loop_
_atom_site_label
_atom_site_fract_x
_atom_site_fract_y
_atom_site_fract_z
Li1 0.994 0.250 0.998
O1 0.244 0.500 0.900
Li2 0.505 0.752 0.501
O2 0.276 0.209 0.168
Ni1 0.514 0.000 0.777
O3 0.696 0.500 0.052
O4 0.711 0.288 0.836
O5 0.254 0.500 0.402
O6 0.291 0.000 0.949
O7 0.711 0.712 0.836
Li3 0.994 0.750 0.998
O8 0.745 0.000 0.098
P1 0.417 0.000 0.095
O9 0.809 0.500 0.551
Cu1 0.039 0.500 0.720
P2 0.081 0.000 0.594
O10 0.228 0.794 0.668
P3 0.575 0.500 0.905
P4 0.926 0.500 0.405
Li4 0.505 0.248 0.501
O11 0.780 0.291 0.333
O12 0.201 0.000 0.449
Ni2 0.983 0.000 0.273
O13 0.228 0.206 0.668
Ni3 0.484 0.500 0.226
O14 0.276 0.791 0.168
O15 0.780 0.709 0.333
O16 0.753 0.000 0.598

***

Entry 4:
# TaCu2Sb | the Alexandria database | PBEsol | relaxed
# Symmetry: Imm2, No. 44
# Theoretical density in kg/m3: 11417
# Formation energy from raw total energies in eV/atom: 0.189
data_TaCu2Sb
_chemical_formula_sum 'Ta1 Cu2 Sb1'
_symmetry_space_group_name_H-M 'P 1'
_symmetry_Int_Tables_number 1
_cell_length_a 3.709
_cell_length_b 3.815
_cell_length_c 5.157
_cell_angle_alpha 111.71
_cell_angle_beta 111.08
_cell_angle_gamma 90.00
loop_
_symmetry_equiv_pos_as_xyz
'x,y,z'
loop_
_atom_site_label
_atom_site_fract_x
_atom_site_fract_y
_atom_site_fract_z
Cu1 0.017 0.017 0.033
Cu2 0.723 0.223 0.446
Ta1 0.260 0.760 0.519
Sb1 0.501 0.501 0.002

***

Entry 5:
# Ta2NbNiIr | the Alexandria database | PBEsol | relaxed
# Formation energy in meV/atom: 891
# Symmetry: P4/mmm, No. 123
# Theoretical density in kg/m3: 13097
data_Ta2NbNiIr
_chemical_formula_sum 'Ta2 Nb1 Ni1 Ir1'
_symmetry_space_group_name_H-M 'P 1'
_symmetry_Int_Tables_number 1
_cell_length_a 4.457
_cell_length_b 4.481
_cell_length_c 4.481
_cell_angle_alpha 90.00
_cell_angle_beta 90.00
_cell_angle_gamma 90.00
loop_
_symmetry_equiv_pos_as_xyz
'x,y,z'
loop_
_atom_site_label
_atom_site_fract_x
_atom_site_fract_y
_atom_site_fract_z
Nb1 0.500 0.000 0.000
Ta1 0.000 0.500 0.000
Ta2 0.000 0.000 0.500
Ni1 0.000 0.000 0.000
Ir1 0.500 0.500 0.500

***

Entry 6:
# LiFeSi2O6 | the Alexandria database | PBEsol | relaxed
# Polymorph energy (0 for the lowest one) in eV per formula unit: 0.29
# Symmetry: P-1, No. 2
# Theoretical density in kg/m3: 3374
# Formation energy from raw total energies in eV/atom: -2.268
data_LiFeSi2O6
_chemical_formula_sum 'Li3 Fe3 Si6 O18'
_symmetry_space_group_name_H-M 'P 1'
_symmetry_Int_Tables_number 1
_cell_length_a 6.960
_cell_length_b 7.250
_cell_length_c 7.268
_cell_angle_alpha 79.93
_cell_angle_beta 62.36
_cell_angle_gamma 78.99
loop_
_symmetry_equiv_pos_as_xyz
'x,y,z'
loop_
_atom_site_label
_atom_site_fract_x
_atom_site_fract_y
_atom_site_fract_z
Li1 0.370 0.252 0.239
Si1 0.319 0.839 0.244
O1 0.247 0.346 0.516
Li2 0.630 0.748 0.761
O2 0.541 0.812 0.268
O3 0.725 0.415 0.214
O4 0.374 0.728 0.040
O5 0.141 0.719 0.447
O6 0.863 0.558 0.790
O7 0.232 0.974 0.658
O8 0.626 0.272 0.960
Si2 0.243 0.181 0.703
Li3 0.500 0.500 0.500
O9 0.773 0.942 0.782
Fe1 0.948 0.212 0.271
Si3 0.757 0.819 0.297
O10 0.459 0.188 0.732
O11 0.227 0.058 0.218
Si4 0.805 0.383 0.975
O12 0.859 0.281 0.553
Si5 0.195 0.617 0.025
O13 0.275 0.585 0.786
O14 0.137 0.442 0.210
Fe2 0.052 0.788 0.729
O15 0.753 0.654 0.484
O16 0.030 0.232 0.927
Si6 0.681 0.161 0.756
O17 0.970 0.768 0.073
Fe3 0.000 0.500 0.500
O18 0.768 0.026 0.342

***

Look up the theoretical density of the fifth one.
13097 kg/m3

***

What did the second record say?
# CaCdO2 | the Alexandria database | PBEsol | relaxed
# Symmetry: I-42d, No. 122
# Theoretical density in kg/m3: 4572
# Formation energy from raw total energies in eV/atom: -1.902
data_CaCdO2
_chemical_formula_sum 'Ca2 Cd2 O4'
_symmetry_space_group_name_H-M 'P 1'
_symmetry_Int_Tables_number 1
_cell_length_a 5.063
_cell_length_b 5.063
_cell_length_c 6.336
_cell_angle_alpha 113.55
_cell_angle_beta 113.55
_cell_angle_gamma 90.00
loop_
_symmetry_equiv_pos_as_xyz
'x,y,z'
loop_
_atom_site_label
_atom_site_fract_x
_atom_site_fract_y
_atom_site_fract_z
O1 0.625 0.629 0.750
O2 0.371 0.875 0.250
O3 0.125 0.121 0.750
Ca1 0.500 0.500 0.000
Cd1 0.000 0.000 0.000
Ca2 0.750 0.250 0.500
O4 0.879 0.375 0.250
Cd2 0.250 0.750 0.500